DFT (PBE) results for a relaxed La2Pr8Sn crystal.

## Properties
DFT formation energy in eV/atom: 0.01

Cell lengths 9.767, 9.767, 6.409 Å; angles 104.21, 104.21, 40.83 degrees
Positions (direct):
La 0.232 0.232 0.362
La 0.768 0.768 0.638
Pr 0.085 0.085 0.927
Pr 0.178 0.649 0.551
Pr 0.306 0.306 0.921
Pr 0.351 0.822 0.449
Pr 0.649 0.178 0.551
Pr 0.694 0.694 0.079
Pr 0.822 0.351 0.449
Pr 0.915 0.915 0.073
Sn 0.500 0.500 0.000

DFT (PBE) results for a relaxed NbRh2I crystal.

## Properties
ΔE_f (raw) in meV/atom: 483

Cell lengths 6.598, 6.598, 6.598 Å; angles 90.00, 90.00, 90.00 degrees
Positions (direct):
Nb 0.000 0.000 0.000
Nb 0.000 0.500 0.500
Nb 0.500 0.000 0.500
Nb 0.500 0.500 0.000
Rh 0.250 0.250 0.250
Rh 0.250 0.250 0.750
Rh 0.250 0.750 0.250
Rh 0.250 0.750 0.750
Rh 0.750 0.250 0.250
Rh 0.750 0.250 0.750
Rh 0.750 0.750 0.250
Rh 0.750 0.750 0.750
I 0.000 0.000 0.500
I 0.000 0.500 0.000
I 0.500 0.000 0.000
I 0.500 0.500 0.500

Number 1: energy above the lowest structure with this stoichiometry 120 meV/atom, DFT total energy -52.03 eV for the cell shown. Number 2: energy above the lowest structure with this stoichiometry 6 meV/atom, DFT total energy -97.57 eV for the cell shown.